Density functional theory data (GGA+U) for a relaxed structure of GaCo2TcF.

CIF file:
```
data_GaCo2TcF
_chemical_formula_sum 'Ga1 Co2 Tc1 F1'
_cell_length_a 4.582
_cell_length_b 4.582
_cell_length_c 4.897
_cell_angle_alpha 90.00
_cell_angle_beta 90.00
_cell_angle_gamma 90.00
_symmetry_space_group_name_H-M 'P 4/m m m'
_symmetry_Int_Tables_number 123
_symmetry_space_group_name_Hall '-P 4 2'
loop_
_atom_site_label
_atom_site_type_symbol
_atom_site_fract_x
_atom_site_fract_y
_atom_site_fract_z
Ga1 Ga 0.000 0.000 0.000
Co1 Co 0.000 0.500 0.500
Tc1 Tc 0.000 0.000 0.500
F1 F 0.500 0.500 0.000
```

Summary:
Fermi-level density of states   0.7963 states/eV/atom
DFT total energy   -20.9 eV/cell
Calculated volume   20.6 A^3/atom